# K3AcGa2O6, relaxed, DFT PBE
# Final energy (eV/atom): -5.563
# Formation energy from raw total energies (eV per atom): -1.96
data_K3AcGa2O6
_cell_length_a 6.3407
_cell_length_b 6.3407
_cell_length_c 7.3859
_cell_angle_alpha 90.00
_cell_angle_beta 90.00
_cell_angle_gamma 120.00
_space_group_name_H-M_alt 'P -3 m 1'
_space_group_IT_number 164
_space_group_name_Hall '-P 3 2"'
loop_
_atom_site_label
_atom_site_fract_x
_atom_site_fract_y
_atom_site_fract_z
K1 0.0000 0.0000 0.0000
K2 0.3333 0.6667 0.7592
Ac1 0.0000 0.0000 0.5000
Ga1 0.3333 0.6667 0.2759
O1 0.1708 0.3415 0.2776

***

# KAcGaPb, relaxed, DFT PBE
# Final energy (eV/atom): -3.155
data_KAcGaPb
_cell_length_a 8.1477
_cell_length_b 8.1477
_cell_length_c 8.1477
_cell_angle_alpha 90.00
_cell_angle_beta 90.00
_cell_angle_gamma 90.00
_space_group_name_H-M_alt 'F -4 3 m'
_space_group_IT_number 216
_space_group_name_Hall 'F -4 2 3'
loop_
_atom_site_label
_atom_site_fract_x
_atom_site_fract_y
_atom_site_fract_z
K1 0.0000 0.0000 0.0000
Ac1 0.0000 0.0000 0.5000
Ga1 0.2500 0.2500 0.2500
Pb1 0.2500 0.2500 0.7500

***

# KAcGaS4, relaxed, DFT PBE
# Final energy (eV/atom): -4.845
# Formation energy from raw total energies (eV per atom): -1.31
data_KAcGaS4
_cell_length_a 7.3082
_cell_length_b 5.8589
_cell_length_c 9.4060
_cell_angle_alpha 90.00
_cell_angle_beta 105.41
_cell_angle_gamma 90.00
_space_group_name_H-M_alt 'P 1 21/m 1'
_space_group_IT_number 11
_space_group_name_Hall '-P 2yb'
loop_
_atom_site_label
_atom_site_fract_x
_atom_site_fract_y
_atom_site_fract_z
K1 0.2307 0.2500 0.4543
Ac1 0.2450 0.2500 0.9378
Ga1 0.2569 0.7500 0.1896
S1 0.0684 0.7500 0.3397
S2 0.1064 0.7500 0.9418
S3 0.5000 0.0178 0.2254

***

# K4Ac3GaS8, relaxed, DFT PBE
# Final energy (eV/atom): -4.838
# Formation energy from raw total energies (eV per atom): -1.54
data_K4Ac3GaS8
_cell_length_a 15.0964
_cell_length_b 8.4771
_cell_length_c 8.9435
_cell_angle_alpha 90.00
_cell_angle_beta 123.19
_cell_angle_gamma 90.00
_space_group_name_H-M_alt 'C 1 2/m 1'
_space_group_IT_number 12
_space_group_name_Hall '-C 2y'
loop_
_atom_site_label
_atom_site_fract_x
_atom_site_fract_y
_atom_site_fract_z
K1 0.0000 0.0000 0.0000
K2 0.0000 0.5000 0.0000
K3 0.2500 0.2500 0.0000
Ac1 0.0000 0.0000 0.5000
Ac2 0.2500 0.2500 0.5000
Ga1 0.0000 0.5000 0.5000
S1 0.0104 0.2898 0.3119
S2 0.2349 0.0000 0.7177
S3 0.2420 0.0000 0.2648

***

- What is the formula in the third record?
  KAcGaS4